Entry 1:
LiI at its PBEsol-relaxed geometry, computed with SCAN.

```
LiI
1.0
4.493 0.000 0.000
-2.247 3.891 0.000
0.000 0.000 7.256
Li I
2 2
Direct
0.333 0.667 0.000
0.667 0.333 0.500
0.333 0.667 0.621
0.667 0.333 0.121
```

Values from the calculation:
Total moment in μB/cell: 0.00
Formation energy from raw total energies in eV per atom: -1.34
Energy above the most stable polymorph in this dataset in meV per atom: 0

Entry 2:
SrAsIr at its PBEsol-relaxed geometry, computed with SCAN.

```
SrAsIr
1.0
4.161 0.000 0.000
-2.081 3.604 0.000
0.000 0.000 4.566
Sr As Ir
1 1 1
Direct
0.000 0.000 0.000
0.667 0.333 0.500
0.333 0.667 0.500
```

Values from the calculation:
Total moment in μB/cell: 0.00
E_form in eV/atom: -0.817

Entry 3:
MgFe2Co at its PBEsol-relaxed geometry, computed with SCAN.

```
MgFe2Co
1.0
2.906 0.000 0.000
0.000 2.906 0.000
0.000 0.000 5.961
Mg Fe Co
1 2 1
Direct
0.000 0.000 0.000
0.000 0.000 0.490
0.500 0.500 0.702
0.500 0.500 0.285
```

Values from the calculation:
Total moment in μB/cell: 6.90
E_form in eV/atom: 0.092

Entry 4:
GePtW3 at its PBEsol-relaxed geometry, computed with SCAN.

```
GePtW3
1.0
4.491 0.000 0.000
0.000 4.491 0.000
0.000 0.000 4.491
Ge Pt W
1 1 3
Direct
0.000 0.000 0.000
0.500 0.500 0.500
0.000 0.000 0.500
0.000 0.500 0.000
0.500 0.000 0.000
```

Values from the calculation:
Total moment in μB/cell: 0.00
E_form in eV/atom: 1.802

Entry 5:
AlTl2Cu3Se4 at its PBEsol-relaxed geometry, computed with SCAN.

```
AlTl2Cu3Se4
1.0
3.881 0.000 0.000
0.000 3.881 0.000
0.000 0.000 14.355
Al Tl Cu Se
1 2 3 4
Direct
0.000 0.000 0.000
0.000 0.500 0.710
0.500 0.000 0.290
0.000 0.000 0.500
0.500 0.500 0.000
0.500 0.500 0.500
0.000 0.500 0.107
0.000 0.500 0.392
0.500 0.000 0.608
0.500 0.000 0.893
```

Values from the calculation:
Total moment in μB/cell: 0.00
Formation energy from raw total energies in eV per atom: -0.40

Entry 6:
LiTa2Ag at its PBEsol-relaxed geometry, computed with SCAN.

```
LiTa2Ag
1.0
1.403 0.810 10.159
-1.403 0.810 10.159
0.000 -1.620 10.159
Li Ta Ag
1 2 1
Direct
0.000 0.000 0.000
0.248 0.248 0.248
0.752 0.752 0.752
0.500 0.500 0.500
```

Values from the calculation:
Total moment in μB/cell: 0.00
E_form in eV/atom: 0.392
Energy above the most stable polymorph in this dataset in meV per atom: 60

Entry 7:
MgV2O4 at its PBEsol-relaxed geometry, computed with SCAN.

```
MgV2O4
1.0
0.000 4.176 4.176
4.176 0.000 4.176
4.176 4.176 0.000
Mg V O
2 4 8
Direct
0.125 0.125 0.125
0.875 0.875 0.875
0.000 0.500 0.500
0.500 0.000 0.500
0.500 0.500 0.000
0.500 0.500 0.500
0.260 0.260 0.260
0.260 0.260 0.721
0.260 0.721 0.260
0.279 0.740 0.740
0.721 0.260 0.260
0.740 0.279 0.740
0.740 0.740 0.279
0.740 0.740 0.740
```

Values from the calculation:
Total moment in μB/cell: 8.00
Formation energy from raw total energies in eV per atom: -2.77
Energy above the most stable polymorph in this dataset in meV per atom: 0

Entry 8:
KFeP2 at its PBEsol-relaxed geometry, computed with SCAN.

```
KFeP2
1.0
0.000 3.216 3.216
3.216 0.000 3.216
3.216 3.216 0.000
K Fe P
1 1 2
Direct
0.000 0.000 0.000
0.500 0.500 0.500
0.250 0.250 0.250
0.750 0.750 0.750
```

Values from the calculation:
Total moment in μB/cell: 3.41
E_form in eV/atom: 0.658
Energy above the most stable polymorph in this dataset in meV per atom: 755

Entry 9:
CdTe2Au2 at its PBEsol-relaxed geometry, computed with SCAN.

```
CdTe2Au2
1.0
-2.245 2.245 6.187
2.245 -2.245 6.187
2.245 2.245 -6.187
Cd Te Au
1 2 2
Direct
0.000 0.000 0.000
0.250 0.750 0.500
0.750 0.250 0.500
0.395 0.395 0.000
0.605 0.605 0.000
```

Values from the calculation:
Total moment in μB/cell: 0.00
Formation energy from raw total energies in eV per atom: 0.23

Entry 10:
CdTc at its PBEsol-relaxed geometry, computed with SCAN.

```
CdTc
1.0
1.467 -2.350 0.000
1.467 2.350 0.000
0.000 0.000 9.721
Cd Tc
2 2
Direct
0.250 0.750 0.860
0.750 0.250 0.140
0.250 0.750 0.396
0.750 0.250 0.604
```

Values from the calculation:
Total moment in μB/cell: 0.00
E_form in eV/atom: 0.291
Energy above the most stable polymorph in this dataset in meV per atom: 0

Entry 11:
ScRh2Se at its PBEsol-relaxed geometry, computed with SCAN.

```
ScRh2Se
1.0
-1.733 2.054 4.309
1.733 -2.054 4.309
1.733 2.054 -4.309
Sc Rh Se
1 2 1
Direct
0.000 0.000 0.000
0.475 0.475 0.000
0.732 0.232 0.500
0.259 0.759 0.500
```

Values from the calculation:
Total moment in μB/cell: 0.00
Formation energy from raw total energies in eV per atom: -0.66
Energy above the most stable polymorph in this dataset in meV per atom: 13

Entry 12:
BiSb3Ru at its PBEsol-relaxed geometry, computed with SCAN.

```
BiSb3Ru
1.0
5.654 0.000 0.000
0.000 5.654 0.000
0.000 0.000 5.654
Bi Sb Ru
1 3 1
Direct
0.000 0.000 0.000
0.000 0.000 0.500
0.000 0.500 0.000
0.500 0.000 0.000
0.500 0.500 0.500
```

Values from the calculation:
Total moment in μB/cell: 2.54
Formation energy from raw total energies in eV per atom: 1.83

Entry 13:
CdIn2Ag at its PBEsol-relaxed geometry, computed with SCAN.

```
CdIn2Ag
1.0
5.291 -1.544 0.000
5.291 1.544 0.000
-1.378 0.000 5.255
Cd In Ag
1 2 1
Direct
0.000 0.000 0.000
0.542 0.542 0.528
0.759 0.759 0.185
0.288 0.288 0.683
```

Values from the calculation:
Total moment in μB/cell: 0.00
E_form in eV/atom: 0.060

Entry 14:
MgMn2Tl at its PBEsol-relaxed geometry, computed with SCAN.

```
MgMn2Tl
1.0
-1.957 1.978 4.355
1.957 -1.978 4.355
1.957 1.978 -4.355
Mg Mn Tl
1 2 1
Direct
0.000 0.000 0.000
0.250 0.750 0.500
0.499 0.499 0.000
0.750 0.250 0.500
```

Values from the calculation:
Total moment in μB/cell: 7.27
E_form in eV/atom: 0.048

Entry 15:
LiBeAg2 at its PBEsol-relaxed geometry, computed with SCAN.

```
LiBeAg2
1.0
4.630 -1.424 0.000
4.630 1.424 0.000
-1.341 0.000 4.095
Li Be Ag
1 1 2
Direct
0.000 0.000 0.000
0.256 0.256 0.659
0.530 0.530 0.527
0.759 0.759 0.176
```

Values from the calculation:
Total moment in μB/cell: 0.00
E_form in eV/atom: -0.023

Entry 16:
KYW2O at its PBEsol-relaxed geometry, computed with SCAN.

```
KYW2O
1.0
4.623 0.000 0.000
0.000 4.623 0.000
0.000 0.000 4.592
K Y W O
1 1 2 1
Direct
0.000 0.000 0.000
0.500 0.500 0.500
0.000 0.500 0.000
0.500 0.000 0.000
0.000 0.000 0.500
```

Values from the calculation:
Total moment in μB/cell: 4.51
Formation energy from raw total energies in eV per atom: 2.64

Entry 17:
TiCrW2Se at its PBEsol-relaxed geometry, computed with SCAN.

```
TiCrW2Se
1.0
4.623 0.000 0.000
0.000 4.623 0.000
0.000 0.000 4.599
Ti Cr W Se
1 1 2 1
Direct
0.000 0.000 0.000
0.500 0.500 0.500
0.000 0.500 0.000
0.500 0.000 0.000
0.000 0.000 0.500
```

Values from the calculation:
Total moment in μB/cell: 2.22
Formation energy from raw total energies in eV per atom: 1.79

Entry 18:
LuSi at its PBEsol-relaxed geometry, computed with SCAN.

```
LuSi
1.0
2.059 -5.097 0.000
2.059 5.097 0.000
0.000 0.000 3.721
Lu Si
2 2
Direct
0.141 0.859 0.750
0.859 0.141 0.250
0.421 0.579 0.750
0.579 0.421 0.250
```

Values from the calculation:
Total moment in μB/cell: 0.00
Formation energy from raw total energies in eV per atom: -0.83

Entry 19:
InAg3 at its PBEsol-relaxed geometry, computed with SCAN.

```
InAg3
1.0
5.859 0.000 0.000
-2.929 5.074 0.000
0.000 0.000 4.746
In Ag
2 6
Direct
0.333 0.667 0.250
0.667 0.333 0.750
0.165 0.329 0.750
0.165 0.835 0.750
0.329 0.165 0.250
0.671 0.835 0.750
0.835 0.165 0.250
0.835 0.671 0.250
```

Values from the calculation:
Total moment in μB/cell: 0.00
E_form in eV/atom: -0.032

Entry 20:
RbBa2BeIr at its PBEsol-relaxed geometry, computed with SCAN.

```
RbBa2BeIr
1.0
5.737 0.000 0.000
0.000 5.737 0.000
0.000 0.000 5.334
Rb Ba Be Ir
1 2 1 1
Direct
0.000 0.000 0.000
0.000 0.500 0.500
0.500 0.000 0.500
0.000 0.000 0.500
0.500 0.500 0.000
```

Values from the calculation:
Total moment in μB/cell: 0.00
E_form in eV/atom: 1.137